Compound: LiScZnNi
Source: OQMD via LeMat-Bulk
Functional: PBE
Structure: relaxed Values from VASP.

Computed properties:
Energy   -3.90 eV per atom

The structure in Quantum ESPRESSO input format:
```
&SYSTEM
  ibrav = 0, nat = 4, ntyp = 4
/
ATOMIC_SPECIES
Sc 44.96 Sc.upf
Zn 65.41 Zn.upf
Ni 58.69 Ni.upf
Li 6.94 Li.upf
CELL_PARAMETERS angstrom
-3.1359 -2.2842 -1.9858
-4.1350 1.3655 0.1767
-1.9244 1.5900 -3.5725
ATOMIC_POSITIONS angstrom
Sc 0.0000 0.0000 0.0000
Zn -2.2988 0.1678 -1.3454
Ni -4.5977 0.3356 -2.6908
Li -6.8965 0.5034 -4.0362
```



Compound: Dy2Er3Tm2Ni2Te2
Source: OQMD via LeMat-Bulk
Functional: PBE
Structure: relaxed Values from VASP.

Computed properties:
Energy   -5.16 eV per atom

The structure in Quantum ESPRESSO input format:
```
&SYSTEM
  ibrav = 0, nat = 11, ntyp = 5
/
ATOMIC_SPECIES
Te 127.60 Te.upf
Tm 168.93 Tm.upf
Ni 58.69 Ni.upf
Er 167.26 Er.upf
Dy 162.50 Dy.upf
CELL_PARAMETERS angstrom
-1.9131 7.7390 4.7396
1.9131 -7.7390 4.7396
1.9131 7.7390 -4.7396
ATOMIC_POSITIONS angstrom
Te 0.0000 0.0000 8.6872
Tm 0.0000 12.6090 0.5730
Ni 1.9131 3.6754 2.3999
Tm 0.0000 2.8689 0.5730
Te 0.0000 7.7390 0.1744
Er 0.0000 2.2669 3.9008
Dy 0.0000 9.7999 2.5044
Er 1.9131 5.4721 -0.8389
Er 1.9131 0.0000 1.7173
Ni 1.9131 -3.6754 2.3999
Dy 0.0000 5.6781 2.5044
```



Compound: LaPmEr
Source: OQMD via LeMat-Bulk
Functional: PBE
Structure: relaxed Values from VASP.

Computed properties:
Energy   -4.08 eV per atom

The structure in Quantum ESPRESSO input format:
```
&SYSTEM
  ibrav = 0, nat = 3, ntyp = 3
/
ATOMIC_SPECIES
Pm 145.00 Pm.upf
La 138.91 La.upf
Er 167.26 Er.upf
CELL_PARAMETERS angstrom
-0.8286 -3.9484 3.7865
-5.0880 -2.0066 0.8368
-1.2405 -5.1497 -1.5988
ATOMIC_POSITIONS angstrom
Pm -5.3678 -8.3286 2.2684
La -1.7893 -2.7762 0.7561
Er 0.0000 0.0000 0.0000
```



no.,E above lowest polymorph (meV/atom)
1,131
2,2
3,0